Material: Ac2MnCdO5
Method: DFT, PBE with a Hubbard U
State: optimized geometry Values from VASP.

Values from the calculation:
- E_tot (eV per atom) = -6.80

Cell and atoms, written as Quantum ESPRESSO input:
```
&SYSTEM
  ibrav = 0, nat = 18, ntyp = 4
/
ATOMIC_SPECIES
O 16.00 O.upf
Cd 112.41 Cd.upf
Mn 54.94 Mn.upf
Ac 227.00 Ac.upf
ATOMIC_POSITIONS angstrom
O 1.3935 2.6967 0.9237
O 2.9093 0.0000 0.0000
O 1.3935 6.3171 2.6967
O 4.4251 6.3171 2.6967
O 1.3935 0.9237 4.5442
O 1.3935 4.5442 6.3171
O 2.9093 3.6204 3.6204
O 4.4251 2.6967 0.9237
O 4.4251 0.9237 4.5442
O 4.4251 4.5442 6.3171
Cd 0.0000 0.0000 0.0000
Cd 0.0000 3.6204 3.6204
Mn 0.0000 0.0000 3.6204
Mn 0.0000 3.6204 0.0000
Ac 2.9093 5.9244 4.9369
Ac 2.9093 4.9369 1.3164
Ac 2.9093 1.3164 2.3040
Ac 2.9093 2.3040 5.9244
CELL_PARAMETERS angstrom
5.8187 0.0000 0.0000
0.0000 7.2409 0.0000
0.0000 0.0000 7.2409
```